[1]
Material: TlTcMo2Rh
Method: DFT, GGA-PBEsol
State: optimized geometry

Output
The formation energy comes out at 1.6778 eV/atom. Its crystal system is tetragonal. The calculation puts the magnetic moment at 1.21 μB/cell. The calculation puts the volume at 100 Å³/cell.

a = 4.6579 Å, b = 4.6579 Å, c = 4.6285 Å
α = 90.00°, β = 90.00°, γ = 90.00°
With the nearest neighbours (Å) after each atom.
Space group P4/mmm (No. 123)
One atom of each set of equivalent atoms:
Tl  0.0000  0.0000  0.0000 [1 per cell]  8 Mo 3.28, 4 Tc 3.29
Tc  0.5000  0.5000  0.0000 [1 per cell]  2 Rh 2.31
Mo  0.0000  0.5000  0.5000 [2 per cell]  2 Rh 2.33
Rh  0.5000  0.5000  0.5000 [1 per cell]  2 Tc 2.31, 4 Mo 2.33


[2]
Material: TeMo2Rh
Method: DFT, GGA-PBEsol
State: optimized geometry

Output
Its formation energy without anion corrections is 4.51 kcal/mol of atoms. Its crystal system is monoclinic. The calculation puts the magnetic moment at 0.00 μB/cell. The calculation puts the volume at 129 Å³/cell.

a = 9.3739 Å, b = 3.0559 Å, c = 4.7352 Å
α = 90.00°, β = 108.44°, γ = 90.00°
With the nearest neighbours (Å) after each atom.
Space group Cm (No. 8)
One atom of each set of equivalent atoms:
Te  0.0000  0.0000  0.0000 [2 per cell]  7 Mo 2.72-2.88, 2 Rh 2.77
Mo  0.2476  0.0000  0.8086 [2 per cell]  4 Rh 2.70-2.94, 3 Te 2.72-2.75, 2 Mo 2.95
Mo  0.4785  0.0000  0.4715 [2 per cell]  3 Rh 2.61-2.73, 4 Te 2.77-2.88
Rh  0.2406  0.5000  0.3342 [2 per cell]  5 Mo 2.61-2.73, 2 Te 2.77


[3]
Material: TeMo2Rh
Method: DFT, GGA-PBEsol
State: optimized geometry

Output
Its formation energy without anion corrections is 5.84 kcal/mol of atoms. Its crystal system is tetragonal. The calculation puts the magnetic moment at 0.01 μB/cell. The calculation puts the volume at 127 Å³/cell.

a = 3.9024 Å, b = 3.9024 Å, c = 8.3238 Å
α = 90.00°, β = 90.00°, γ = 90.00°
With the nearest neighbours (Å) after each atom.
Space group I4/mmm (No. 139)
One atom of each set of equivalent atoms:
Te  0.0000  0.0000  0.0000 [2 per cell]  4 Rh 2.76, 8 Mo 2.85
Mo  0.0000  0.5000  0.2500 [4 per cell]  4 Mo 2.76, 4 Te 2.85, 4 Rh 2.85
Rh  0.0000  0.0000  0.5000 [2 per cell]  4 Te 2.76, 8 Mo 2.85


[4]
Material: TeMo2RhW
Method: DFT, GGA-PBEsol
State: optimized geometry

Output
Its formation energy without anion corrections is 45.85 kcal/mol of atoms. Its crystal system is tetragonal. The calculation puts the magnetic moment at 0.75 μB/cell. The calculation puts the volume at 108 Å³/cell.

a = 4.6479 Å, b = 4.6479 Å, c = 5.0108 Å
α = 90.00°, β = 90.00°, γ = 90.00°
With the nearest neighbours (Å) after each atom.
Space group P4/mmm (No. 123)
One atom of each set of equivalent atoms:
Te  0.0000  0.0000  0.0000 [1 per cell]  2 W 2.51
Mo  0.0000  0.5000  0.5000 [2 per cell]  2 W 2.32
Rh  0.5000  0.5000  0.0000 [1 per cell]  4 Te 3.29, 8 Mo 3.42
W  0.0000  0.0000  0.5000 [1 per cell]  4 Mo 2.32, 2 Te 2.51


[5]
Material: TiMo3Rh
Method: DFT, GGA-PBEsol
State: optimized geometry

Output
The formation energy comes out at 1.5923 eV/atom. Its crystal system is cubic. The calculation puts the magnetic moment at 0.00 μB/cell. The calculation puts the volume at 98 Å³/cell.

a = 4.6064 Å, b = 4.6064 Å, c = 4.6064 Å
α = 90.00°, β = 90.00°, γ = 90.00°
With the nearest neighbours (Å) after each atom.
Space group Pm-3m (No. 221)
One atom of each set of equivalent atoms:
Ti  0.0000  0.0000  0.0000 [1 per cell]  12 Mo 3.26
Mo  0.0000  0.5000  0.5000 [3 per cell]  2 Rh 2.30
Rh  0.5000  0.5000  0.5000 [1 per cell]  6 Mo 2.30


[6]
Material: Tl2MoRh
Method: DFT, GGA-PBEsol
State: optimized geometry

Output
The formation energy comes out at 0.6056 eV/atom. Its crystal system is orthorhombic. The calculation puts the magnetic moment at 1.46 μB/cell. As for the relative energy among the computed polymorphs: 0.49 eV per formula unit. The calculation puts the volume at 148 Å³/cell.

a = 3.0713 Å, b = 5.1776 Å, c = 9.2937 Å
α = 90.00°, β = 90.00°, γ = 90.00°
With the nearest neighbours (Å) after each atom.
Space group Immm (No. 71)
One atom of each set of equivalent atoms:
Tl  0.0000  0.0000  0.2391 [4 per cell]  2 Rh 2.70, 2 Mo 2.87, 4 Tl 3.02
Mo  0.0000  0.5000  0.0000 [2 per cell]  4 Tl 2.87, 4 Rh 3.01, 2 Mo 3.07
Rh  0.0000  0.5000  0.5000 [2 per cell]  4 Tl 2.70, 4 Mo 3.01


[7]
Material: TlMoRh
Method: DFT, GGA-PBEsol
State: optimized geometry

Output
The formation energy comes out at 0.4380 eV/atom. Its crystal system is hexagonal. The calculation puts the magnetic moment at 0.00 μB/cell. The calculation puts the volume at 50 Å³/cell.

a = 4.5199 Å, b = 4.5199 Å, c = 2.8066 Å
α = 90.00°, β = 90.00°, γ = 120.00°
With the nearest neighbours (Å) after each atom.
Space group P-6m2 (No. 187)
One atom of each set of equivalent atoms:
Tl  0.0000  0.0000  0.0000 [1 per cell]  3 Rh 2.61, 2 Tl 2.81
Mo  0.6667  0.3333  0.5000 [1 per cell]  2 Mo 2.81, 6 Tl 2.96, 6 Rh 2.96
Rh  0.3333  0.6667  0.0000 [1 per cell]  3 Tl 2.61, 2 Rh 2.81


[8]
Material: Tl2MoRh
Method: DFT, GGA-PBEsol
State: optimized geometry

Output
The formation energy comes out at 0.6372 eV/atom. Its crystal system is orthorhombic. The calculation puts the magnetic moment at 0.99 μB/cell. As for the relative energy among the computed polymorphs: 0.61 eV per formula unit. The calculation puts the volume at 74 Å³/cell.

a = 3.0517 Å, b = 4.6641 Å, c = 5.2237 Å
α = 90.00°, β = 90.00°, γ = 90.00°
With the nearest neighbours (Å) after each atom.
Space group Pmmm (No. 47)
One atom of each set of equivalent atoms:
Tl  0.0000  0.0000  0.0000 [1 per cell]  4 Rh 2.79, 6 Tl 3.02-3.05
Tl  0.5000  0.0000  0.5000 [1 per cell]  4 Mo 2.79, 6 Tl 3.02-3.05
Mo  0.0000  0.5000  0.5000 [1 per cell]  4 Tl 2.79, 4 Rh 3.02, 2 Mo 3.05
Rh  0.5000  0.5000  0.0000 [1 per cell]  4 Tl 2.79, 4 Mo 3.02, 2 Rh 3.05


[9]
Material: Tl2MoRh
Method: DFT, GGA-PBEsol
State: optimized geometry

Output
The formation energy comes out at 0.4835 eV/atom. Its crystal system is orthorhombic. The calculation puts the magnetic moment at 0.01 μB/cell. As for the relative energy among the computed polymorphs: 0.00 eV per formula unit. The calculation puts the volume at 153 Å³/cell.

a = 2.9220 Å, b = 4.7690 Å, c = 10.9500 Å
α = 90.00°, β = 90.00°, γ = 90.00°
With the nearest neighbours (Å) after each atom.
Space group Imm2 (No. 44)
One atom of each set of equivalent atoms:
Tl  0.0000  0.0000  0.0000 [2 per cell]  4 Rh 2.85, 2 Tl 2.92
Tl  0.0000  0.5000  0.2073 [2 per cell]  4 Mo 2.85, 2 Tl 2.92, 2 Rh 3.16
Mo  0.0000  0.5000  0.7595 [2 per cell]  2 Rh 2.56, 4 Tl 2.85
Rh  0.0000  0.0000  0.4518 [2 per cell]  2 Mo 2.56, 4 Tl 2.85


[10]
Material: MoRhW2
Method: DFT, GGA-PBEsol
State: optimized geometry

Output
The formation energy comes out at 0.1473 eV/atom. Its crystal system is orthorhombic. The calculation puts the magnetic moment at 0.00 μB/cell. As for the relative energy among the computed polymorphs: 0.08 eV per formula unit. The calculation puts the volume at 61 Å³/cell.

a = 2.6747 Å, b = 4.0006 Å, c = 5.6586 Å
α = 90.00°, β = 90.00°, γ = 90.00°
With the nearest neighbours (Å) after each atom.
Space group Pmm2 (No. 25)
One atom of each set of equivalent atoms:
Mo  0.0000  0.0000  0.0000 [1 per cell]  2 Mo 2.67, 6 W 2.73-2.92, 4 Rh 2.77
Rh  0.5000  0.5000  0.2424 [1 per cell]  2 Rh 2.67, 6 W 2.76-2.84, 4 Mo 2.77
W  0.0000  0.0000  0.4831 [1 per cell]  6 W 2.67-2.82, 2 Mo 2.73-2.92, 4 Rh 2.76
W  0.5000  0.5000  0.7436 [1 per cell]  6 W 2.67-2.82, 4 Mo 2.81, 2 Rh 2.82-2.84


[11]
Material: MoRh2W
Method: DFT, GGA-PBEsol
State: optimized geometry

Output
The formation energy comes out at -0.1905 eV/atom. Its crystal system is tetragonal. The calculation puts the magnetic moment at 0.00 μB/cell. As for the relative energy among the computed polymorphs: 0.05 eV per formula unit. The calculation puts the volume at 57 Å³/cell.

a = 2.7216 Å, b = 2.7216 Å, c = 7.7572 Å
α = 90.00°, β = 90.00°, γ = 90.00°
With the nearest neighbours (Å) after each atom.
Space group P4/mmm (No. 123)
One atom of each set of equivalent atoms:
Mo  0.0000  0.0000  0.0000 [1 per cell]  4 Mo 2.72, 8 Rh 2.74
Rh  0.5000  0.5000  0.2511 [2 per cell]  4 Rh 2.72, 4 W 2.73, 4 Mo 2.74
W  0.0000  0.0000  0.5000 [1 per cell]  4 W 2.72, 8 Rh 2.73


[12]
Material: MoRh2W
Method: DFT, GGA-PBEsol
State: optimized geometry

Output
The formation energy comes out at -0.2023 eV/atom. Its crystal system is orthorhombic. The calculation puts the magnetic moment at 0.00 μB/cell. As for the relative energy among the computed polymorphs: 0.00 eV per formula unit. The calculation puts the volume at 57 Å³/cell.

a = 2.7247 Å, b = 4.3996 Å, c = 4.7760 Å
α = 90.00°, β = 90.00°, γ = 90.00°
With the nearest neighbours (Å) after each atom.
Space group Pmm2 (No. 25)
One atom of each set of equivalent atoms:
Mo  0.0000  0.0000  0.0000 [1 per cell]  8 Rh 2.69-2.75, 2 Mo 2.72, 2 W 2.75
Rh  0.5000  0.0000  0.5000 [1 per cell]  4 W 2.69, 4 Rh 2.72-2.76, 4 Mo 2.75
Rh  0.5000  0.5000  0.8476 [1 per cell]  4 Mo 2.69, 4 Rh 2.72-2.76, 4 W 2.74-2.76
W  0.0000  0.5000  0.3448 [1 per cell]  8 Rh 2.69-2.76, 2 W 2.72, 2 Mo 2.75